Computed, not measured: a relaxed Mg8Pd2Pb3 crystal at the PBE-GGA level of DFT.

Computed properties:
DOS(E_F): 0.292 states/eV per atom
ΔH_f (0 K): -3.179 eV per formula unit
Energy: -2.8805 eV per atom
ρ: 5.5 Mg/m³

a = 8.8072 Å, b = 14.7834 Å, c = 4.7618 Å
α = 90.00°, β = 90.00°, γ = 90.00°
Closest atoms and distances in Å follow each position.
Space group Cmmm (No. 65)
Symmetry-distinct sites (fractional):
Mg (0.0000, 0.1332, 0.0000) x4  2 Pd 2.78, 1 Mg 2.87, 2 Pb 3.09
Mg (0.0000, 0.3271, 0.0000) x4  2 Pd 2.77, 1 Mg 2.87, 2 Pb 3.09
Mg (0.2254, 0.3541, 0.5000) x8  2 Pd 2.70-2.72
Pd (0.0000, 0.2307, 0.5000) x4  8 Mg 2.70-2.78
Pb (0.0000, 0.0000, 0.5000) x2  8 Mg 3.09-3.24, 2 Pd 3.41
Pb (0.1979, 0.5000, 0.0000) x4  8 Mg 3.09-3.31